# CuPb3

An optimized crystal structure of CuPb3 (PBEsol, Alexandria).

```
4
Lattice="3.372 0.000 0.000 0.000 3.372 0.000 0.000 0.000 8.733" Properties=species:S:1:pos:R:3 pbc="T T T"
Cu 0.000 0.000 0.000
Pb 1.686 1.686 1.741
Pb 0.000 0.000 4.366
Pb 1.686 1.686 6.992
```

Calculated values
Total energy: -3.94 eV per atom
Density: 11.46 g cm⁻³
V: 99.3 Å³/cell
Space-group type: No. 123